Density functional theory data (PBE-GGA) for a relaxed structure of RbCrGaAs2.

abc: 5.185 5.185 4.802
angles: 90.00 90.00 90.00
Space group P4/mmm (No. 123)
Asymmetric unit:
1 Rb 0.000 0.000 0.000 x1
2 Cr 0.500 0.500 0.000 x1
3 Ga 0.500 0.500 0.500 x1
4 As 0.000 0.500 0.500 x2

Calculated values
ΔE_f, meV per atom: 857
Fermi-level density of states, states/eV/atom: 1.329
Crystal system: tetragonal